This record from Alexandria describes a relaxed Tb2TmNi9 crystal. The functional is PBE-GGA.

Properties
- Energy relative to the elements: -4.93 eV per formula unit
- Space-group type: R-3m

abc: 4.950 4.950 8.618
angles: 73.31 73.31 60.00
Sites, in units of the cell vectors:
Ni (0.418, 0.418, 0.244)
Ni (0.582, 0.081, 0.756)
Ni (0.667, 0.667, 0.999)
Ni (0.081, 0.582, 0.756)
Ni (0.582, 0.582, 0.756)
Ni (0.418, 0.919, 0.244)
Ni (0.500, 0.500, 0.500)
Ni (0.919, 0.418, 0.244)
Ni (0.333, 0.333, 0.001)
Tb (0.862, 0.862, 0.415)
Tb (0.138, 0.138, 0.585)
Tm (0.000, 0.000, 0.000)